The following is a PBE calculation of CsGaSe2 after structural relaxation, from Alexandria via LeMat-Bulk.

```
data_CsGaSe2
_space_group_name_H-M_alt 'R -3 m'
_space_group_IT_number 166
_space_group_name_Hall '-R 3 2"'
_cell_length_a 5.9731
_cell_length_b 5.9731
_cell_length_c 22.2336
_cell_angle_alpha 90.00
_cell_angle_beta 90.00
_cell_angle_gamma 120.00
loop_
_atom_site_label
_atom_site_fract_x
_atom_site_fract_y
_atom_site_fract_z
Cs1 0.0000 0.0000 0.0000
Ga1 0.0000 0.0000 0.5000
Se1 0.0000 0.0000 0.4010
```

Density of states at the Fermi level   0.000 states/eV per atom
Magnetic moment   0.0 Bohr magnetons per cell
Formation energy without anion corrections   -0.689 eV/atom
Total DFT energy (no corrections)   -3.40 eV/atom